i) A geometry-optimized Bi4Pd structure. Source: the Alexandria database, functional PBE.

The structure belongs to space group I4_1/amd (No. 141, origin choice 2); the cell edges are 9.134, 9.134 and 7.090 Å and the angles 90.00°, 90.00° and 90.00°. The asymmetric unit holds Bi at (0.000, 0.055, 0.228) and Pd at (0.000, 0.250, 0.875).

The value obtained for the volume is 29.58 A^3/atom. The total magnetization comes out at 0.00 Bohr magnetons per cell.

***

ii) A geometry-optimized Bi4Pd structure. Source: the Alexandria database, functional PBE.

The structure belongs to space group C2/c (No. 15); the cell edges are 6.782, 13.189 and 7.482 Å and the angles 90.00°, 106.34° and 90.00°. The asymmetric unit holds Bi at (0.234, 0.227, 0.296), Bi at (0.242, 0.056, 0.875) and Pd at (0.000, 0.427, 0.750).

The value obtained for the volume is 32.11 A^3/atom. The total magnetization comes out at 0.00 Bohr magnetons per cell.

***

iii) A geometry-optimized Bi4Pd structure. Source: the Alexandria database, functional PBE.

The structure belongs to space group Pm-3m (No. 221); the cell edges are 5.418, 5.418 and 5.418 Å and the angles 90.00°, 90.00° and 90.00°. The asymmetric unit holds Bi at (0.000, 0.000, 0.000), Bi at (0.000, 0.500, 0.500) and Pd at (0.500, 0.500, 0.500).

The value obtained for the volume is 31.82 A^3/atom. The total magnetization comes out at 0.00 Bohr magnetons per cell.

***

Computed relative energies in units of eV/atom: i) 0.035; ii) 0.000; iii) 0.316

***

i) A geometry-optimized Bi2Pd3 structure. Source: the Alexandria database, functional PBE.

The structure belongs to space group R-3c (No. 167, hexagonal axes); the cell edges are 7.0494, 7.0494 and 15.6201 Å and the angles 90.00°, 90.00° and 120.00°. The asymmetric unit holds Bi at (0.0000, 0.0000, 0.1059) and Pd at (0.0000, 0.2385, 0.2500).

The value obtained for the volume is 22.41 A^3/atom. The total magnetization comes out at 0.00 Bohr magnetons per cell.

***

ii) A geometry-optimized Bi2Pd3 structure. Source: the Alexandria database, functional PBE.

The structure belongs to space group Ibam (No. 72); the cell edges are 6.709, 11.510 and 5.471 Å and the angles 90.00°, 90.00° and 90.00°. The asymmetric unit holds Bi at (0.244, 0.156, 0.000), Pd at (0.000, 0.000, 0.250) and Pd at (0.143, 0.404, 0.000).

The value obtained for the volume is 21.13 A^3/atom. The total magnetization comes out at 0.00 Bohr magnetons per cell.

***

Computed relative energies in units of eV/atom: i) 0.142; ii) 0.000

***

i) A geometry-optimized PmBiPd4 structure. Source: the Alexandria database, functional PBE.

The structure belongs to space group Pmma (No. 51); the cell edges are 7.848, 4.250 and 7.340 Å and the angles 90.00°, 90.00° and 90.00°. The asymmetric unit holds Pm at (0.250, 0.000, 0.183), Bi at (0.250, 0.000, 0.757), Pd at (0.000, 0.000, 0.500), Pd at (0.019, 0.500, 0.800) and Pd at (0.250, 0.500, 0.465).

The value obtained for the volume is 20.40 A^3/atom. The total magnetization comes out at 0.00 Bohr magnetons per cell.

***

ii) A geometry-optimized PmBiPd4 structure. Source: the Alexandria database, functional PBE.

The structure belongs to space group F-43m (No. 216); the cell edges are 7.760, 7.760 and 7.760 Å and the angles 90.00°, 90.00° and 90.00°. The asymmetric unit holds Pm at (0.000, 0.000, 0.000), Bi at (0.250, 0.250, 0.750) and Pd at (0.125, 0.125, 0.375).

The value obtained for the volume is 19.47 A^3/atom. The total magnetization comes out at 0.00 Bohr magnetons per cell.

***

Computed relative energies in units of eV/atom: i) 0.080; ii) 0.000

***

i) A geometry-optimized PmBiPd structure. Source: the Alexandria database, functional PBE.

The structure belongs to space group I4mm (No. 107); the cell edges are 4.132, 4.132 and 9.182 Å and the angles 90.00°, 90.00° and 90.00°. The asymmetric unit holds Pm at (0.000, 0.000, 0.000), Bi at (0.000, 0.000, 0.333) and Pd at (0.000, 0.000, 0.648).

The value obtained for the volume is 26.13 A^3/atom. The total magnetization comes out at 0.00 Bohr magnetons per cell.

***

ii) A geometry-optimized PmBiPd structure. Source: the Alexandria database, functional PBE.

The structure belongs to space group Cmcm (No. 63); the cell edges are 5.173, 8.630 and 6.717 Å and the angles 90.00°, 90.00° and 90.00°. The asymmetric unit holds Pm at (0.000, 0.160, 0.250), Bi at (0.000, 0.500, 0.000) and Pd at (0.000, 0.179, 0.750).

The value obtained for the volume is 24.99 A^3/atom. The total magnetization comes out at 0.00 Bohr magnetons per cell.

***

iii) A geometry-optimized PmBiPd structure. Source: the Alexandria database, functional PBE.

The structure belongs to space group P3m1 (No. 156); the cell edges are 4.7151, 4.7151 and 3.9734 Å and the angles 90.00°, 90.00° and 120.00°. The asymmetric unit holds Pm at (0.0000, 0.0000, 0.0000), Bi at (0.3333, 0.6667, 0.4753) and Pd at (0.6667, 0.3333, 0.5547).

The value obtained for the volume is 25.50 A^3/atom. The total magnetization comes out at 0.00 Bohr magnetons per cell.

***

Computed relative energies in units of eV/atom: i) 0.251; ii) 0.060; iii) 0.000

***

i) A geometry-optimized Pm2BiPd structure. Source: the Alexandria database, functional PBE.

The structure belongs to space group Fm-3m (No. 225); the cell edges are 7.561, 7.561 and 7.561 Å and the angles 90.00°, 90.00° and 90.00°. The asymmetric unit holds Pm at (0.250, 0.250, 0.250), Bi at (0.000, 0.000, 0.000) and Pd at (0.000, 0.000, 0.500).

The value obtained for the volume is 27.01 A^3/atom. The total magnetization comes out at 3.64 Bohr magnetons per cell.

***

ii) A geometry-optimized Pm2BiPd structure. Source: the Alexandria database, functional PBE.

The structure belongs to space group P4/mmm (No. 123); the cell edges are 3.713, 3.713 and 7.844 Å and the angles 90.00°, 90.00° and 90.00°. The asymmetric unit holds Pm at (0.000, 0.000, 0.220), Bi at (0.500, 0.500, 0.500) and Pd at (0.500, 0.500, 0.000).

The value obtained for the volume is 27.03 A^3/atom. The total magnetization comes out at 0.00 Bohr magnetons per cell.

***

Computed relative energies in units of eV/atom: i) 0.026; ii) 0.000

***

i) A geometry-optimized PmBiPd6 structure. Source: the Alexandria database, functional PBE.

The structure belongs to space group P4/mmm (No. 123); the cell edges are 4.164, 4.164 and 8.320 Å and the angles 90.00°, 90.00° and 90.00°. The asymmetric unit holds Pm at (0.000, 0.000, 0.000), Bi at (0.000, 0.000, 0.500), Pd at (0.000, 0.500, 0.254), Pd at (0.500, 0.500, 0.000) and Pd at (0.500, 0.500, 0.500).

The value obtained for the volume is 18.03 A^3/atom. The total magnetization comes out at 0.00 Bohr magnetons per cell.

***

ii) A geometry-optimized PmBiPd6 structure. Source: the Alexandria database, functional PBE.

The structure belongs to space group R-3m (No. 166, hexagonal axes); the cell edges are 5.4863, 5.4863 and 21.3578 Å and the angles 90.00°, 90.00° and 120.00°. The asymmetric unit holds Pm at (0.0000, 0.0000, 0.0000), Bi at (0.0000, 0.0000, 0.5000) and Pd at (0.0065, 0.5032, 0.9363).

The value obtained for the volume is 23.20 A^3/atom. The total magnetization comes out at 0.00 Bohr magnetons per cell.

***

Computed relative energies in units of eV/atom: i) 0.000; ii) 0.294